(1)
# ScBF6

A relaxed structure of ScBF6 (PBE, Alexandria).

Cell lengths 4.9614, 4.9614, 12.6780 Å; angles 90.00, 90.00, 120.00 degrees
Space group R-3 (No. 148, hexagonal axes)
Unique sites:
1 Sc 0.0000 0.0000 0.0000 x3
2 B 0.0000 0.0000 0.5000 x3
3 F 0.0404 0.4347 0.2407 x18

Results
The total magnetization comes out at 0.0000 μB/atom. The uncorrected energy comes out at -48.29 eV/f.u.



(2)
# ScTaB2F

A relaxed structure of ScTaB2F (PBE, Alexandria).

Cell lengths 4.1300, 4.1300, 5.5227 Å; angles 90.00, 90.00, 90.00 degrees
Space group P4/mmm (No. 123)
Unique sites:
1 Sc 0.0000 0.0000 0.0000 x1
2 Ta 0.0000 0.0000 0.5000 x1
3 B 0.0000 0.5000 0.5000 x2
4 F 0.5000 0.5000 0.0000 x1

Results
The total magnetization comes out at 0.0000 μB/atom. The uncorrected energy comes out at -29.76 eV/f.u.



(3)
# BSeF2

A relaxed structure of BSeF2 (PBE, Alexandria).

Cell lengths 7.4748, 7.4748, 7.4748 Å; angles 90.00, 90.00, 90.00 degrees
Space group Fd-3m (No. 227, origin choice 2)
Unique sites:
1 B 0.1250 0.1250 0.1250 x8
2 Se 0.1250 0.1250 0.6250 x8
3 F 0.0000 0.0000 0.0000 x16

Results
The total magnetization comes out at 0.2500 μB/atom. The offset from the most stable computed form is 191.2 kJ/mol of formula units. The uncorrected energy comes out at -15.28 eV/f.u.



(4)
# BSe2F

A relaxed structure of BSe2F (PBE, Alexandria).

Cell lengths 5.9622, 5.9622, 5.9622 Å; angles 90.00, 90.00, 90.00 degrees
Space group Fm-3m (No. 225)
Unique sites:
1 B 0.0000 0.0000 0.0000 x4
2 Se 0.2500 0.2500 0.2500 x8
3 F 0.0000 0.0000 0.5000 x4

Results
The total magnetization comes out at 0.0000 μB/atom. The offset from the most stable computed form is 252.8 kJ/mol of formula units. The uncorrected energy comes out at -13.16 eV/f.u.



(5)
# BSeF3

A relaxed structure of BSeF3 (PBE, Alexandria).

Cell lengths 4.3549, 4.3549, 4.3549 Å; angles 90.00, 90.00, 90.00 degrees
Space group Pm-3m (No. 221)
Unique sites:
1 B 0.0000 0.0000 0.0000 x1
2 Se 0.5000 0.5000 0.5000 x1
3 F 0.0000 0.5000 0.5000 x3

Results
The total magnetization comes out at 0.0415 μB/atom. The offset from the most stable computed form is 157.7 kJ/mol of formula units. The uncorrected energy comes out at -15.27 eV/f.u.



(6)
# BSe2F

A relaxed structure of BSe2F (PBE, Alexandria).

Cell lengths 3.5452, 3.5452, 21.9435 Å; angles 90.00, 90.00, 120.00 degrees
Space group R-3m (No. 166, hexagonal axes)
Unique sites:
1 B 0.0000 0.0000 0.0000 x3
2 Se 0.0000 0.0000 0.0830 x6
3 F 0.0000 0.0000 0.5000 x3

Results
The total magnetization comes out at 0.0000 μB/atom. The offset from the most stable computed form is 61.0 kJ/mol of formula units. The uncorrected energy comes out at -15.15 eV/f.u.